Record 1
Cs2YTiF6 PBE-GGA relaxed; Fermi-level density of states = 1.5 states/eV per cell; formation energy from raw total energies = -2.938 eV per atom; electronic total energy = -5.667 eV/atom
1.0
0.000 4.548 4.548
4.548 0.000 4.548
4.548 4.548 0.000
Cs Y Ti F
2 1 1 6
direct
0.250 0.250 0.250
0.750 0.750 0.750
0.000 0.000 0.000
0.500 0.500 0.500
0.245 0.245 0.755
0.245 0.755 0.245
0.245 0.755 0.755
0.755 0.245 0.245
0.755 0.245 0.755
0.755 0.755 0.245

***

Record 2
CsTiZn2F8 PBE-GGA relaxed; Fermi-level density of states = 6.6 states/eV per cell; formation energy from raw total energies = -2.685 eV per atom; electronic total energy = -4.873 eV/atom
1.0
2.703 1.560 8.489
-2.703 1.560 8.489
0.000 -3.121 8.489
Cs Ti Zn F
1 1 2 8
direct
0.000 0.000 0.000
0.500 0.500 0.500
0.239 0.239 0.239
0.761 0.761 0.761
0.147 0.746 0.470
0.254 0.529 0.853
0.312 0.312 0.312
0.470 0.147 0.746
0.530 0.853 0.254
0.688 0.688 0.688
0.746 0.470 0.147
0.853 0.254 0.530

***

Record 3
Cs2TiZnF PBE-GGA relaxed; Fermi-level density of states = 7.9 states/eV per cell; formation energy from raw total energies = 0.165 eV per atom; electronic total energy = -2.385 eV/atom
1.0
7.347 0.000 0.000
0.000 7.347 0.000
0.000 0.000 4.271
Cs Ti Zn F
2 1 1 1
direct
0.000 0.500 0.000
0.500 0.000 0.000
0.000 0.000 0.500
0.500 0.500 0.000
0.500 0.500 0.500

***

- The lowest Fermi-level density of states belongs to which entry?
  Cs2YTiF6